Record 1
Compound: TcOs2Pt
Source: Alexandria
Functional: PBE
Structure: optimized geometry

a b c (Å): 2.7363 4.7694 5.4771
angles (deg): 54.82 90.00 90.00
Element x y z (fractional)
Pt 0.5000 0.5000 0.5000
Os 0.5000 0.5000 0.0000
Os 0.0000 0.0000 0.0000
Tc 0.0000 0.0000 0.5000

As for the size of the total moment: 0.00 μB per atom. The calculation puts the offset from the most stable computed form at 46 meV/atom. The symmetry is P2/m, No. 10. The calculation puts the formation energy from the elements at 29 kJ/mol of formula units. For the total energy, the calculation gives -9.642 eV/atom. As for the density: 19.14 g/cm3.

Record 2
Compound: CdGePb2Au6
Source: Alexandria
Functional: PBE
Structure: optimized geometry

a b c (Å): 5.6782 9.3300 8.9627
angles (deg): 90.00 90.00 90.00
Element x y z (fractional)
Pb 0.0000 0.2928 0.2318
Pb 0.0000 0.2928 0.7682
Pb 0.5000 0.7072 0.2682
Pb 0.5000 0.7072 0.7318
Cd 0.5000 0.2823 0.0000
Cd 0.0000 0.7177 0.5000
Ge 0.0000 0.7601 0.0000
Ge 0.5000 0.2399 0.5000
Au 0.5000 0.1030 0.7450
Au 0.2518 0.0152 0.0000
Au 0.5000 0.1030 0.2550
Au 0.7521 0.4663 0.5000
Au 0.2482 0.9848 0.5000
Au 0.0000 0.8970 0.7550
Au 0.2479 0.4663 0.5000
Au 0.7518 0.9848 0.5000
Au 0.7479 0.5337 0.0000
Au 0.7482 0.0152 0.0000
Au 0.2521 0.5337 0.0000
Au 0.0000 0.8970 0.2450

As for the size of the total moment: 0.00 μB per atom. The symmetry is Pmmn, No. 59. The calculation puts the formation energy from the elements at -12 kJ/mol of formula units. For the total energy, the calculation gives -3.274 eV/atom. As for the density: 12.46 g/cm3.